Compound: ZrZn2Ge
Source: Alexandria
Functional: meta-GGA SCAN
Structure: PBEsol geometry

Computed properties:
The value obtained for the total magnetization is 0.00 μB per formula unit. Its crystal system is tetragonal. The calculated formation energy is -401 meV per atom. The total energy comes out at -19.60 eV/atom.

abc: 8.947 8.947 8.947
angles: 154.73 154.73 36.03
Element x y z (fractional)
1 Zr 0.126 0.126 0.000
2 Zr 0.874 0.874 0.000
3 Zn 0.000 0.500 0.500
4 Zn 0.398 0.398 0.000
5 Zn 0.500 0.000 0.500
6 Zn 0.602 0.602 0.000
7 Ge 0.250 0.750 0.500
8 Ge 0.750 0.250 0.500

Compound: ZrZnGe3
Source: Alexandria
Functional: meta-GGA SCAN
Structure: PBEsol geometry

Computed properties:
The value obtained for the total magnetization is 0.00 μB per formula unit. Its crystal system is cubic. The calculated formation energy is 679 meV per atom. The total energy comes out at -19.62 eV/atom.

abc: 5.129 5.129 5.129
angles: 90.00 90.00 90.00
Element x y z (fractional)
1 Zr 0.000 0.000 0.000
2 Zn 0.500 0.500 0.500
3 Ge 0.000 0.000 0.500
4 Ge 0.000 0.500 0.000
5 Ge 0.500 0.000 0.000

Compound: Zr6Zn23Ge
Source: Alexandria
Functional: meta-GGA SCAN
Structure: PBEsol geometry

Computed properties:
The value obtained for the total magnetization is 0.00 μB per formula unit. Its crystal system is cubic. The calculated formation energy is -369 meV per atom. The total energy comes out at -17.51 eV/atom.

abc: 8.632 8.632 8.632
angles: 60.00 60.00 60.00
Element x y z (fractional)
1 Zr 0.215 0.215 0.785
2 Zr 0.215 0.785 0.215
3 Zr 0.215 0.785 0.785
4 Zr 0.785 0.215 0.215
5 Zr 0.785 0.215 0.785
6 Zr 0.785 0.785 0.215
7 Zn 0.000 0.000 0.500
8 Zn 0.000 0.500 0.000
9 Zn 0.000 0.500 0.500
10 Zn 0.127 0.624 0.624
11 Zn 0.164 0.164 0.164
12 Zn 0.164 0.164 0.509
13 Zn 0.164 0.509 0.164
14 Zn 0.376 0.376 0.376
15 Zn 0.376 0.376 0.873
16 Zn 0.376 0.873 0.376
17 Zn 0.491 0.836 0.836
18 Zn 0.500 0.000 0.000
19 Zn 0.500 0.000 0.500
20 Zn 0.500 0.500 0.000
21 Zn 0.500 0.500 0.500
22 Zn 0.509 0.164 0.164
23 Zn 0.624 0.127 0.624
24 Zn 0.624 0.624 0.127
25 Zn 0.624 0.624 0.624
26 Zn 0.836 0.491 0.836
27 Zn 0.836 0.836 0.491
28 Zn 0.836 0.836 0.836
29 Zn 0.873 0.376 0.376
30 Ge 0.000 0.000 0.000

Compound: ZrGe
Source: Alexandria
Functional: meta-GGA SCAN
Structure: PBEsol geometry

Computed properties:
The value obtained for the total magnetization is 0.00 μB per formula unit. Its crystal system is orthorhombic. The calculated formation energy is -922 meV per atom. The total energy comes out at -25.82 eV/atom.

abc: 7.022 3.889 5.363
angles: 90.00 90.00 90.00
Element x y z (fractional)
1 Zr 0.177 0.250 0.131
2 Zr 0.323 0.750 0.631
3 Zr 0.677 0.250 0.369
4 Zr 0.823 0.750 0.869
5 Ge 0.047 0.250 0.653
6 Ge 0.453 0.750 0.153
7 Ge 0.547 0.250 0.847
8 Ge 0.953 0.750 0.347

Compound: H
Source: Alexandria
Functional: meta-GGA SCAN
Structure: PBEsol geometry

Computed properties:
The value obtained for the total magnetization is 1.00 μB per formula unit. Its energy above the most stable polymorph in this dataset is 1537 meV/atom. Its crystal system is tetragonal. The total energy comes out at -1.11 eV/atom.

abc: 3.097 3.097 3.071
angles: 90.00 90.00 90.00
Element x y z (fractional)
1 H 0.000 0.000 0.000

Compound: H
Source: Alexandria
Functional: meta-GGA SCAN
Structure: PBEsol geometry

Computed properties:
The value obtained for the total magnetization is 1.00 μB per formula unit. Its energy above the most stable polymorph in this dataset is 1543 meV/atom. Its crystal system is tetragonal. The total energy comes out at -1.10 eV/atom.

abc: 3.030 3.030 2.971
angles: 90.00 90.00 90.00
Element x y z (fractional)
1 H 0.000 0.000 0.000